VASP calculation (PBE) on Fe2OsW after structural relaxation.

a = 4.1871 Å, b = 4.1871 Å, c = 3.0466 Å
α = 90.00°, β = 90.00°, γ = 90.00°
With the nearest neighbours (Å) after each atom.
Fractional coordinates of all 4 atoms:
Fe 0.0000 0.0000 0.0000  4 W 2.59, 4 Os 2.59
Os 0.5000 0.0000 0.5000  8 Fe 2.59
Fe 0.5000 0.5000 0.0000  4 W 2.59, 4 Os 2.59
W 0.0000 0.5000 0.5000  8 Fe 2.59

Summary:
* DOS at the Fermi energy: 3.87 states/eV per cell
* calculated formation energy: 176 meV per atom
* E: -10.101 eV/atom